Run A
A plane-wave DFT calculation with GGA-PBE was carried out for crystalline Rb2AsO at its relaxed geometry.

Results
V: 31.11 A^3/atom

Unit cell a=7.925 b=7.925 c=7.925 alpha=90.00 beta=90.00 gamma=90.00
Space group Fm-3m (No. 225)
Symmetry-distinct sites (fractional):
Rb 0.250 0.250 0.250
As 0.000 0.000 0.000
O 0.000 0.000 0.500



Run B
A plane-wave DFT calculation with GGA-PBE was carried out for crystalline Rb2AsO at its relaxed geometry.

Results
V: 35.56 A^3/atom

Unit cell a=11.677 b=11.677 c=4.172 alpha=90.00 beta=90.00 gamma=90.00
Space group I-42d (No. 122)
Symmetry-distinct sites (fractional):
Rb 0.036 0.250 0.125
As 0.000 0.000 0.500
O 0.000 0.000 0.000



Of them, the most stable is run B and the least stable is run A.



Run A
A plane-wave DFT calculation with GGA-PBE was carried out for crystalline Rb2AsO3 at its relaxed geometry.

Results
V: 21.60 A^3/atom

Unit cell a=11.098 b=6.401 c=7.298 alpha=90.00 beta=90.00 gamma=90.00
Space group Cmcm (No. 63)
Symmetry-distinct sites (fractional):
Rb 0.167 0.000 0.000
As 0.000 0.500 0.250
O 0.000 0.226 0.250
O 0.137 0.364 0.750



Run B
A plane-wave DFT calculation with GGA-PBE was carried out for crystalline Rb2AsO3 at its relaxed geometry.

Results
V: 28.71 A^3/atom

Unit cell a=7.839 b=13.028 c=13.495 alpha=90.00 beta=90.00 gamma=90.00
Space group Fmmm (No. 69)
Symmetry-distinct sites (fractional):
Rb 0.231 0.000 0.000
Rb 0.250 0.250 0.250
As 0.000 0.000 0.233
O 0.000 0.000 0.362
O 0.000 0.112 0.163



Of them, the most stable is run A and the least stable is run B.



Run A
A plane-wave DFT calculation with GGA-PBE was carried out for crystalline RbAs2SeO at its relaxed geometry.

Results
V: 21.58 A^3/atom

Unit cell a=4.451 b=4.451 c=5.447 alpha=90.00 beta=90.00 gamma=90.00
Space group P4/mmm (No. 123)
Symmetry-distinct sites (fractional):
Rb 0.000 0.000 0.000
As 0.000 0.500 0.500
Se 0.500 0.500 0.000
O 0.000 0.000 0.500



Run B
A plane-wave DFT calculation with GGA-PBE was carried out for crystalline RbAs2SeO at its relaxed geometry.

Results
V: 77.27 A^3/atom

Unit cell a=7.597 b=7.597 c=6.695 alpha=90.00 beta=90.00 gamma=90.00
Space group P4/mmm (No. 123)
Symmetry-distinct sites (fractional):
Rb 0.000 0.000 0.000
As 0.000 0.500 0.000
Se 0.000 0.000 0.500
O 0.500 0.500 0.500



Of them, the most stable is run A and the least stable is run B.



Run A
A plane-wave DFT calculation with GGA-PBE was carried out for crystalline Re2AsO at its relaxed geometry.

Results
V: 15.47 A^3/atom

Unit cell a=4.238 b=4.238 c=13.782 alpha=90.00 beta=90.00 gamma=90.00
Space group I-42d (No. 122)
Symmetry-distinct sites (fractional):
Re 0.163 0.250 0.125
As 0.000 0.000 0.500
O 0.000 0.000 0.000



Run B
A plane-wave DFT calculation with GGA-PBE was carried out for crystalline Re2AsO at its relaxed geometry.

Results
V: 12.96 A^3/atom

Unit cell a=5.919 b=5.919 c=5.919 alpha=90.00 beta=90.00 gamma=90.00
Space group Fm-3m (No. 225)
Symmetry-distinct sites (fractional):
Re 0.250 0.250 0.250
As 0.000 0.000 0.000
O 0.000 0.000 0.500



Of them, the most stable is run A and the least stable is run B.



Run A
A plane-wave DFT calculation with GGA-PBE was carried out for crystalline AsRh2O at its relaxed geometry.

Results
V: 12.70 A^3/atom

Unit cell a=5.879 b=5.879 c=5.879 alpha=90.00 beta=90.00 gamma=90.00
Space group Fm-3m (No. 225)
Symmetry-distinct sites (fractional):
As 0.000 0.000 0.000
Rh 0.250 0.250 0.250
O 0.000 0.000 0.500



Run B
A plane-wave DFT calculation with GGA-PBE was carried out for crystalline AsRh2O at its relaxed geometry.

Results
V: 16.09 A^3/atom

Unit cell a=4.637 b=4.637 c=11.975 alpha=90.00 beta=90.00 gamma=90.00
Space group I-42d (No. 122)
Symmetry-distinct sites (fractional):
As 0.000 0.000 0.000
Rh 0.169 0.250 0.625
O 0.000 0.000 0.500



Of them, the most stable is run B and the least stable is run A.



Run A
A plane-wave DFT calculation with GGA-PBE was carried out for crystalline As2RhSeO at its relaxed geometry.

Results
V: 16.48 A^3/atom

Unit cell a=4.193 b=4.193 c=4.688 alpha=90.00 beta=90.00 gamma=90.00
Space group P4/mmm (No. 123)
Symmetry-distinct sites (fractional):
As 0.000 0.500 0.000
Rh 0.000 0.000 0.500
Se 0.500 0.500 0.500
O 0.500 0.500 0.000



Run B
A plane-wave DFT calculation with GGA-PBE was carried out for crystalline As2RhSeO at its relaxed geometry.

Results
V: 21.93 A^3/atom

Unit cell a=4.761 b=4.761 c=4.838 alpha=90.00 beta=90.00 gamma=90.00
Space group P4/mmm (No. 123)
Symmetry-distinct sites (fractional):
As 0.000 0.500 0.000
Rh 0.000 0.000 0.000
Se 0.000 0.000 0.500
O 0.500 0.500 0.500



Of them, the most stable is run A and the least stable is run B.



Run A
A plane-wave DFT calculation with GGA-PBE was carried out for crystalline TiAsRhO2 at its relaxed geometry.

Results
V: 14.00 A^3/atom

Unit cell a=3.778 b=3.778 c=4.902 alpha=90.00 beta=90.00 gamma=90.00
Space group P4/mmm (No. 123)
Symmetry-distinct sites (fractional):
Ti 0.000 0.000 0.000
As 0.500 0.500 0.500
Rh 0.500 0.500 0.000
O 0.000 0.500 0.500



Run B
A plane-wave DFT calculation with GGA-PBE was carried out for crystalline TiAsRhO2 at its relaxed geometry.

Results
V: 16.19 A^3/atom

Unit cell a=3.706 b=3.706 c=5.895 alpha=90.00 beta=90.00 gamma=90.00
Space group P4/mmm (No. 123)
Symmetry-distinct sites (fractional):
Ti 0.000 0.000 0.000
As 0.500 0.500 0.000
Rh 0.000 0.000 0.500
O 0.000 0.500 0.500



Of them, the most stable is run B and the least stable is run A.



Run A
A plane-wave DFT calculation with GGA-PBE was carried out for crystalline AsS2O at its relaxed geometry.

Results
V: 14.77 A^3/atom

Unit cell a=2.8801 b=2.8801 c=24.6711 alpha=90.00 beta=90.00 gamma=120.00
Space group R-3m (No. 166, hexagonal axes)
Symmetry-distinct sites (fractional):
As 0.0000 0.0000 0.0000
S 0.0000 0.0000 0.1011
O 0.0000 0.0000 0.5000



Run B
A plane-wave DFT calculation with GGA-PBE was carried out for crystalline AsS2O at its relaxed geometry.

Results
V: 16.85 A^3/atom

Unit cell a=6.120 b=6.120 c=7.198 alpha=90.00 beta=90.00 gamma=90.00
Space group I-42d (No. 122)
Symmetry-distinct sites (fractional):
As 0.000 0.000 0.000
S 0.230 0.250 0.625
O 0.000 0.000 0.500



Of them, the most stable is run B and the least stable is run A.